Record 1
The following is a DFT calculation (PBE) of an optimized crystal structure of BaCaY2.

a = 4.179 Å, b = 6.087 Å, c = 6.153 Å
α = 90.00°, β = 90.00°, γ = 90.00°
Space group Pmmm (No. 47)
Unique sites:
Ba  0.000  0.000  0.000 (multiplicity 1)
Ca  0.500  0.500  0.000 (multiplicity 1)
Y  0.000  0.500  0.500 (multiplicity 1)
Y  0.500  0.000  0.500 (multiplicity 1)

The energy above the lowest structure with this stoichiometry is 0.109 eV/atom. As for the total energy: -3.986 eV/atom. The value obtained for the energy of formation from the pure elements is 0.91 eV per formula unit.

Record 2
The following is a DFT calculation (PBE) of an optimized crystal structure of BaCa2Y.

a = 9.659 Å, b = 9.659 Å, c = 7.244 Å
α = 90.00°, β = 90.00°, γ = 90.00°
Space group I-42d (No. 122)
Unique sites:
Ba  0.000  0.000  0.000 (multiplicity 4)
Ca  0.242  0.250  0.625 (multiplicity 8)
Y  0.000  0.000  0.500 (multiplicity 4)

The energy above the lowest structure with this stoichiometry is 0.307 eV/atom. As for the total energy: -2.686 eV/atom. The value obtained for the energy of formation from the pure elements is 1.65 eV per formula unit.

Record 3
The following is a DFT calculation (PBE) of an optimized crystal structure of Ba3CaY.

a = 6.631 Å, b = 6.631 Å, c = 6.631 Å
α = 90.00°, β = 90.00°, γ = 90.00°
Space group Pm-3m (No. 221)
Unique sites:
Ba  0.000  0.000  0.500 (multiplicity 3)
Ca  0.500  0.500  0.500 (multiplicity 1)
Y  0.000  0.000  0.000 (multiplicity 1)

The energy above the lowest structure with this stoichiometry is 0.000 eV/atom. As for the total energy: -2.306 eV/atom. The value obtained for the energy of formation from the pure elements is 2.70 eV per formula unit.

Record 4
The following is a DFT calculation (PBE) of an optimized crystal structure of BaCa2Y.

a = 3.744 Å, b = 6.235 Å, c = 7.326 Å
α = 90.00°, β = 100.03°, γ = 90.00°
Space group Pm (No. 6)
Unique sites:
Ba  0.000  0.000  0.000 (multiplicity 1)
Ca  0.502  0.000  0.515 (multiplicity 1)
Ca  0.724  0.500  0.266 (multiplicity 1)
Y  0.243  0.500  0.744 (multiplicity 1)

The energy above the lowest structure with this stoichiometry is 0.049 eV/atom. As for the total energy: -2.943 eV/atom. The value obtained for the energy of formation from the pure elements is 0.62 eV per formula unit.

Record 5
The following is a DFT calculation (PBE) of an optimized crystal structure of BaCa2Y.

a = 4.371 Å, b = 6.175 Å, c = 6.228 Å
α = 90.00°, β = 90.00°, γ = 90.00°
Space group Pmmm (No. 47)
Unique sites:
Ba  0.000  0.000  0.000 (multiplicity 1)
Ca  0.000  0.500  0.500 (multiplicity 1)
Ca  0.500  0.000  0.500 (multiplicity 1)
Y  0.500  0.500  0.000 (multiplicity 1)

The energy above the lowest structure with this stoichiometry is 0.070 eV/atom. As for the total energy: -2.922 eV/atom. The value obtained for the energy of formation from the pure elements is 0.70 eV per formula unit.

Record 6
The following is a DFT calculation (PBE) of an optimized crystal structure of BaCa4Y.

a = 10.234 Å, b = 10.234 Å, c = 10.234 Å
α = 90.00°, β = 90.00°, γ = 90.00°
Space group F-43m (No. 216)
Unique sites:
Ba  0.000  0.000  0.000 (multiplicity 4)
Ca  0.124  0.124  0.624 (multiplicity 16)
Y  0.250  0.250  0.250 (multiplicity 4)

As for the total energy: -2.528 eV/atom. The value obtained for the energy of formation from the pure elements is 1.22 eV per formula unit.

Record 7
The following is a DFT calculation (PBE) of an optimized crystal structure of BaCa2Y.

a = 13.034 Å, b = 3.884 Å, c = 6.850 Å
α = 90.00°, β = 99.85°, γ = 90.00°
Space group Cm (No. 8)
Unique sites:
Ba  0.000  0.000  0.000 (multiplicity 2)
Ca  0.242  0.000  0.731 (multiplicity 2)
Ca  0.490  0.000  0.481 (multiplicity 2)
Y  0.249  0.500  0.246 (multiplicity 2)

The energy above the lowest structure with this stoichiometry is 0.064 eV/atom. As for the total energy: -2.928 eV/atom. The value obtained for the energy of formation from the pure elements is 0.68 eV per formula unit.

Record 8
The following is a DFT calculation (PBE) of an optimized crystal structure of BaCaY2.

a = 8.585 Å, b = 8.585 Å, c = 8.585 Å
α = 90.00°, β = 90.00°, γ = 90.00°
Space group F-43m (No. 216)
Unique sites:
Ba  0.000  0.000  0.000 (multiplicity 4)
Ca  0.250  0.250  0.250 (multiplicity 4)
Y  0.000  0.000  0.500 (multiplicity 4)
Y  0.250  0.250  0.750 (multiplicity 4)

The energy above the lowest structure with this stoichiometry is 0.111 eV/atom. As for the total energy: -3.984 eV/atom. The value obtained for the energy of formation from the pure elements is 0.92 eV per formula unit.